ZnNiW2 | PBE | relaxed

Values from the calculation:
space-group type	R-3m, No. 166
calculated density	13.96	g/cm3
formation energy from the elements	0.288	eV/atom
DOS at the Fermi energy	4.15	states/eV/f.u.

Cell lengths 9.140, 9.140, 9.140 Å; angles 17.24, 17.24, 17.24 degrees
Fractional coordinates of all 4 atoms:
Ni (0.750, 0.750, 0.750)
W (0.004, 0.004, 0.004)
W (0.496, 0.496, 0.496)
Zn (0.250, 0.250, 0.250)

=====

ZnNi2W | PBE | relaxed

Values from the calculation:
space-group type	R-3m, No. 166
calculated density	11.56	g/cm3
formation energy from the elements	0.036	eV/atom
DOS at the Fermi energy	4.23	states/eV/f.u.

Cell lengths 8.506, 8.506, 8.506 Å; angles 18.25, 18.25, 18.25 degrees
Fractional coordinates of all 4 atoms:
Ni (0.002, 0.002, 0.002)
Ni (0.498, 0.498, 0.498)
W (0.250, 0.250, 0.250)
Zn (0.750, 0.750, 0.750)

=====

Zn2NiW | PBE | relaxed

Values from the calculation:
space-group type	Cmmm, No. 65
calculated density	11.05	g/cm3
energy above the most stable polymorph in this dataset	0.1910	eV per atom
formation energy from the elements	0.194	eV/atom
DOS at the Fermi energy	3.48	states/eV/f.u.

Cell lengths 4.887, 4.887, 2.581 Å; angles 90.00, 90.00, 114.43 degrees
Fractional coordinates of all 4 atoms:
Ni (0.500, 0.000, 0.500)
W (0.000, 0.500, 0.500)
Zn (0.000, 0.000, 0.000)
Zn (0.500, 0.500, 0.000)

=====

ZnNi3W | PBE | relaxed

Values from the calculation:
space-group type	Pm-3m, No. 221
calculated density	9.47	g/cm3
energy above the most stable polymorph in this dataset	0.0000	eV per atom
formation energy from the elements	1.247	eV/atom
DOS at the Fermi energy	5.41	states/eV/f.u.

Cell lengths 4.209, 4.209, 4.209 Å; angles 90.00, 90.00, 90.00 degrees
Fractional coordinates of all 5 atoms:
Ni (0.000, 0.500, 0.000)
Ni (0.000, 0.000, 0.500)
Ni (0.500, 0.000, 0.000)
Zn (0.000, 0.000, 0.000)
W (0.500, 0.500, 0.500)

=====

ZnNiW2 | PBE | relaxed

Values from the calculation:
space-group type	P4/mmm, No. 123
calculated density	14.23	g/cm3
formation energy from the elements	0.361	eV/atom
DOS at the Fermi energy	3.06	states/eV/f.u.

Cell lengths 3.262, 3.262, 5.394 Å; angles 90.00, 90.00, 90.00 degrees
Fractional coordinates of all 4 atoms:
Ni (0.500, 0.500, 0.750)
W (0.000, 0.000, 0.981)
W (0.000, 0.000, 0.519)
Zn (0.500, 0.500, 0.250)

=====

ZnNi2W | PBE | relaxed

Values from the calculation:
space-group type	Pmmm, No. 47
calculated density	11.74	g/cm3
formation energy from the elements	-0.009	eV/atom
DOS at the Fermi energy	4.36	states/eV/f.u.

Cell lengths 2.661, 3.523, 5.532 Å; angles 90.00, 90.00, 90.00 degrees
Fractional coordinates of all 4 atoms:
Ni (0.000, 0.000, 0.003)
Ni (0.000, 0.000, 0.497)
W (0.500, 0.500, 0.250)
Zn (0.500, 0.500, 0.750)

=====

ZnNi2W | PBE | relaxed

Values from the calculation:
space-group type	Cm, No. 8
calculated density	11.76	g/cm3
formation energy from the elements	0.027	eV/atom
DOS at the Fermi energy	2.44	states/eV/f.u.

Cell lengths 4.598, 4.598, 4.536 Å; angles 79.85, 79.85, 33.31 degrees
Fractional coordinates of all 4 atoms:
Ni (0.994, 0.994, 0.971)
Ni (0.256, 0.256, 0.276)
W (0.507, 0.507, 0.460)
Zn (0.743, 0.743, 0.793)

=====

Zn2NiW | PBE | relaxed

Values from the calculation:
space-group type	Cmmm, No. 65
calculated density	11.37	g/cm3
energy above the most stable polymorph in this dataset	0.0522	eV per atom
formation energy from the elements	0.055	eV/atom
DOS at the Fermi energy	2.15	states/eV/f.u.

Cell lengths 2.709, 2.709, 7.433 Å; angles 90.00, 90.00, 89.89 degrees
Fractional coordinates of all 4 atoms:
Ni (0.500, 0.500, 0.250)
W (0.500, 0.500, 0.750)
Zn (0.000, 0.000, 0.028)
Zn (0.000, 0.000, 0.472)

=====

The lowest calculated density belongs to which entry? ZnNi3W

=====

Which of these has the highest DOS at the Fermi energy? ZnNi3W